DFT (PBE) results for a relaxed structure of TlAg2BiPt.

Lattice parameters (Å, degrees): 5.1746 5.1161 5.1746 90.00 90.00 90.00
Element x y z (fractional)
Ag1 0.0000 0.0000 0.5000
Ag2 0.5000 0.0000 0.0000
Tl1 0.0000 0.0000 0.0000
Bi1 0.5000 0.5000 0.5000
Pt1 0.0000 0.5000 0.0000

Properties
As for the space group: No. 123. The calculation puts the formation energy at 0.72 eV per atom. Its energy is -14.4 eV/cell.